No. 1
Density functional theory data (GGA-PBE) for HoTlIrRh after structural relaxation.

Cell and atoms, written as POSCAR:
```
HoTlIrRh
1.0
0.000 3.347 3.347
3.347 0.000 3.347
3.347 3.347 0.000
Ho Tl Ir Rh
1 1 1 1
Direct
0.000 0.000 0.000
0.500 0.500 0.500
0.750 0.750 0.750
0.250 0.250 0.250
```

Computed properties:
- E_form (eV/atom) = -0.41
- symmetry = F-43m (216)

---

No. 2
Density functional theory data (GGA-PBE) for PmY2Au6 after structural relaxation.

Cell and atoms, written as POSCAR:
```
PmY2Au6
1.0
2.649 -8.155 0.000
2.649 8.155 0.000
-2.576 0.000 4.594
Pm Y Au
1 2 6
Direct
0.000 0.000 0.000
0.334 0.666 0.500
0.666 0.334 0.500
0.003 0.669 0.169
0.331 0.997 0.831
0.344 0.344 0.673
0.656 0.656 0.327
0.669 0.003 0.169
0.997 0.331 0.831
```

Computed properties:
- E_form (eV/atom) = -0.77
- symmetry = C2/m (12)

---

No. 3
Density functional theory data (GGA-PBE) for WBr2 after structural relaxation.

Cell and atoms, written as POSCAR:
```
WBr2
1.0
-3.345 3.345 2.841
3.345 -3.345 2.841
3.345 3.345 -2.841
W Br
2 4
Direct
0.250 0.250 0.000
0.750 0.750 0.000
0.180 0.680 0.860
0.320 0.180 0.500
0.680 0.820 0.500
0.820 0.320 0.140
```

Computed properties:
- symmetry = I4/mcm (140)
- raw formation energy (eV per atom) = 0.7426

---

No. 4
Density functional theory data (GGA-PBE) for ZrBiMo2Pd after structural relaxation.

Cell and atoms, written as POSCAR:
```
ZrBiMo2Pd
1.0
4.869 0.000 0.000
0.000 4.869 0.000
0.000 0.000 5.042
Zr Bi Mo Pd
1 1 2 1
Direct
0.000 0.000 0.000
0.500 0.500 0.500
0.000 0.500 0.000
0.500 0.000 0.000
0.000 0.000 0.500
```

Computed properties:
- E_form (eV/atom) = 1.46
- symmetry = P4/mmm (123)

---

No. 5
Density functional theory data (GGA-PBE) for CaTb2Y after structural relaxation.

Cell and atoms, written as POSCAR:
```
CaTb2Y
1.0
3.618 0.000 0.000
0.000 3.618 0.000
0.000 0.000 10.430
Ca Tb Y
1 2 1
Direct
0.000 0.000 0.000
0.500 0.500 0.267
0.500 0.500 0.733
0.000 0.000 0.500
```

Computed properties:
- E_form (eV/atom) = 0.07
- symmetry = P4/mmm (123)

---

No. 6
Density functional theory data (GGA-PBE) for Be2Hg after structural relaxation.

Cell and atoms, written as POSCAR:
```
Be2Hg
1.0
1.536 -7.981 0.000
1.536 7.981 0.000
0.000 0.000 3.287
Be Hg
4 2
Direct
0.044 0.956 0.750
0.450 0.550 0.750
0.550 0.450 0.250
0.956 0.044 0.250
0.319 0.681 0.250
0.681 0.319 0.750
```

Computed properties:
- E_form (eV/atom) = 0.26
- symmetry = Cmcm (63)

---

Here are the calculated D(E_F) numbers, same order: 0.24; 0.55; 1.04; 1.23; 1.49; 0.29 (states/eV/atom).